Record 1
{
  "formula": "Ni2Te",
  "functional": "GGA-PBE",
  "state": "optimized geometry",
  "lattice_angstrom": [[1.8565, -6.2997, 0.0000], [1.8565, 6.2997, 0.0000], [0.0000, 0.0000, 3.8503]],
  "species": ["Ni", "Ni", "Ni", "Ni", "Te", "Te"],
  "frac_coords": [[0.0907, 0.9093, 0.7500], [0.2558, 0.7442, 0.2500], [0.7442, 0.2558, 0.7500], [0.9093, 0.0907, 0.2500], [0.3895, 0.6105, 0.7500], [0.6105, 0.3895, 0.2500]],
  "volume_a3_per_fu": 45,
  "e_tot_ev_per_cell": -29.2
}

Record 2
{
  "formula": "NiTe2",
  "functional": "GGA-PBE",
  "state": "optimized geometry",
  "lattice_angstrom": [[-1.5469, 1.7180, 6.5662], [1.5469, -1.7180, 6.5662], [1.5469, 1.7180, -6.5662]],
  "species": ["Ni", "Te", "Te"],
  "frac_coords": [[0.0000, 0.0000, 0.0000], [0.3761, 0.3761, 0.0000], [0.6239, 0.6239, 0.0000]],
  "volume_a3_per_fu": 70,
  "e_tot_ev_per_cell": -11.5
}

Record 3
{
  "formula": "Ni8Te",
  "functional": "GGA-PBE",
  "state": "optimized geometry",
  "lattice_angstrom": [[-3.8245, 3.8245, 1.8204], [3.8245, -3.8245, 1.8204], [3.8245, 3.8245, -1.8204]],
  "species": ["Ni", "Ni", "Ni", "Ni", "Ni", "Ni", "Ni", "Ni", "Te"],
  "frac_coords": [[0.0000, 0.3402, 0.3402], [0.0000, 0.6598, 0.6598], [0.3276, 0.3276, 0.6551], [0.3276, 0.6724, 0.0000], [0.3402, 0.0000, 0.3402], [0.6598, 0.0000, 0.6598], [0.6724, 0.3276, 0.0000], [0.6724, 0.6724, 0.3449], [0.0000, 0.0000, 0.0000]],
  "volume_a3_per_fu": 107,
  "e_tot_ev_per_cell": -49.2
}

Record 4
{
  "formula": "Ni2Te",
  "functional": "GGA-PBE",
  "state": "optimized geometry",
  "lattice_angstrom": [[4.0570, -1.8401, 0.0000], [4.0570, 1.8401, 0.0000], [-0.0037, 0.0000, 6.3810]],
  "species": ["Ni", "Ni", "Ni", "Ni", "Te", "Te"],
  "frac_coords": [[0.0000, 0.0000, 0.0000], [0.3967, 0.3967, 0.2613], [0.5778, 0.5778, 0.7074], [0.6987, 0.6987, 0.1165], [0.0929, 0.0929, 0.4019], [0.2965, 0.2965, 0.8598]],
  "volume_a3_per_fu": 48,
  "e_tot_ev_per_cell": -29.4
}

Record 5
{
  "formula": "Ni5Te",
  "functional": "GGA-PBE",
  "state": "optimized geometry",
  "lattice_angstrom": [[4.0505, -1.8494, 0.0000], [4.0505, 1.8494, 0.0000], [-1.6574, 0.0000, 4.9351]],
  "species": ["Ni", "Ni", "Ni", "Ni", "Ni", "Te"],
  "frac_coords": [[0.0000, 0.0000, 0.0000], [0.3286, 0.3286, 0.1545], [0.3338, 0.3338, 0.6802], [0.6662, 0.6662, 0.3198], [0.6714, 0.6714, 0.8455], [0.0000, 0.0000, 0.5000]],
  "volume_a3_per_fu": 74,
  "e_tot_ev_per_cell": -31.9
}

Record 6
{
  "formula": "NiTe",
  "functional": "GGA-PBE",
  "state": "optimized geometry",
  "lattice_angstrom": [[-1.6501, 1.9074, 6.5620], [1.6501, -1.9074, 6.5620], [1.6501, 1.9074, -6.5620]],
  "species": ["Ni", "Ni", "Te", "Te"],
  "frac_coords": [[0.3070, 0.0570, 0.2500], [0.6930, 0.9430, 0.7500], [0.1272, 0.3772, 0.7500], [0.8728, 0.6228, 0.2500]],
  "volume_a3_per_fu": 41,
  "e_tot_ev_per_cell": -17.7
}

Record 7
{
  "formula": "NiTe",
  "functional": "GGA-PBE",
  "state": "optimized geometry",
  "lattice_angstrom": [[0.0000, 3.3802, 3.3802], [3.3802, 0.0000, 3.3802], [3.3802, 3.3802, 0.0000]],
  "species": ["Ni", "Ni", "Te", "Te"],
  "frac_coords": [[0.1250, 0.1250, 0.1250], [0.8750, 0.8750, 0.8750], [0.3750, 0.3750, 0.3750], [0.6250, 0.6250, 0.6250]],
  "volume_a3_per_fu": 39,
  "e_tot_ev_per_cell": -15.0
}

Record 8
{
  "formula": "NiTe2",
  "functional": "GGA-PBE",
  "state": "optimized geometry",
  "lattice_angstrom": [[4.4503, 0.0000, 0.0000], [0.0000, 4.4503, 0.0000], [0.0000, 0.0000, 3.5597]],
  "species": ["Ni", "Te", "Te"],
  "frac_coords": [[0.0000, 0.0000, 0.0000], [0.0000, 0.5000, 0.5000], [0.5000, 0.0000, 0.5000]],
  "volume_a3_per_fu": 71,
  "e_tot_ev_per_cell": -11.5
}

Record 9
{
  "formula": "NiTe",
  "functional": "GGA-PBE",
  "state": "optimized geometry",
  "lattice_angstrom": [[3.8293, 0.0000, 0.0000], [-1.9147, 3.3163, 0.0000], [0.0000, 0.0000, 3.1024]],
  "species": ["Ni", "Te"],
  "frac_coords": [[0.0000, 0.0000, 0.0000], [0.6667, 0.3333, 0.5000]],
  "volume_a3_per_fu": 39,
  "e_tot_ev_per_cell": -8.8
}

Record 10
{
  "formula": "Ni2Te3",
  "functional": "GGA-PBE",
  "state": "optimized geometry",
  "lattice_angstrom": [[3.7162, 0.0000, 0.0000], [-1.8581, 3.2183, 0.0000], [0.0000, 0.0000, 9.1722]],
  "species": ["Ni", "Ni", "Te", "Te", "Te"],
  "frac_coords": [[0.3333, 0.6667, 0.3151], [0.6667, 0.3333, 0.6849], [0.0000, 0.0000, 0.5000], [0.3333, 0.6667, 0.8301], [0.6667, 0.3333, 0.1699]],
  "volume_a3_per_fu": 110,
  "e_tot_ev_per_cell": -21.6
}

Record 11
{
  "formula": "Ni2Te",
  "functional": "GGA-PBE",
  "state": "optimized geometry",
  "lattice_angstrom": [[0.0000, 3.5742, 3.5742], [3.5742, 0.0000, 3.5742], [3.5742, 3.5742, 0.0000]],
  "species": ["Ni", "Ni", "Ni", "Ni", "Te", "Te"],
  "frac_coords": [[0.0000, 0.0000, 0.0000], [0.0000, 0.0000, 0.5000], [0.0000, 0.5000, 0.0000], [0.5000, 0.0000, 0.0000], [0.3750, 0.3750, 0.3750], [0.6250, 0.6250, 0.6250]],
  "volume_a3_per_fu": 46,
  "e_tot_ev_per_cell": -27.6
}

Record 12
{
  "formula": "NiTe2",
  "functional": "GGA-PBE",
  "state": "optimized geometry",
  "lattice_angstrom": [[-1.6243, 1.6243, 13.4950], [1.6243, -1.6243, 13.4950], [1.6243, 1.6243, -13.4950]],
  "species": ["Ni", "Ni", "Te", "Te", "Te", "Te"],
  "frac_coords": [[0.3750, 0.6250, 0.7500], [0.6250, 0.3750, 0.2500], [0.0639, 0.8139, 0.2500], [0.1861, 0.9361, 0.2500], [0.8139, 0.0639, 0.7500], [0.9361, 0.1861, 0.7500]],
  "volume_a3_per_fu": 71,
  "e_tot_ev_per_cell": -23.0
}

Record 13
{
  "formula": "NiTe",
  "functional": "GGA-PBE",
  "state": "optimized geometry",
  "lattice_angstrom": [[3.8104, 0.0000, 0.0000], [0.0000, 3.2724, 0.0000], [0.0000, 0.0000, 6.6576]],
  "species": ["Ni", "Ni", "Te", "Te"],
  "frac_coords": [[0.2500, 0.0000, 0.1119], [0.7500, 0.0000, 0.8881], [0.2500, 0.5000, 0.7551], [0.7500, 0.5000, 0.2449]],
  "volume_a3_per_fu": 42,
  "e_tot_ev_per_cell": -17.7
}

Record 14
{
  "formula": "Ni2Te",
  "functional": "GGA-PBE",
  "state": "optimized geometry",
  "lattice_angstrom": [[0.0000, 2.9196, 2.9196], [2.9196, 0.0000, 2.9196], [2.9196, 2.9196, 0.0000]],
  "species": ["Ni", "Ni", "Te"],
  "frac_coords": [[0.2500, 0.2500, 0.2500], [0.7500, 0.7500, 0.7500], [0.0000, 0.0000, 0.0000]],
  "volume_a3_per_fu": 50,
  "e_tot_ev_per_cell": -14.6
}

Record 15
{
  "formula": "NiTe3",
  "functional": "GGA-PBE",
  "state": "optimized geometry",
  "lattice_angstrom": [[5.2230, 0.0000, 0.0000], [0.0000, 5.2230, 0.0000], [0.0000, 0.0000, 3.4894]],
  "species": ["Ni", "Te", "Te", "Te"],
  "frac_coords": [[0.0000, 0.0000, 0.0000], [0.0000, 0.5000, 0.5000], [0.5000, 0.0000, 0.5000], [0.5000, 0.5000, 0.0000]],
  "volume_a3_per_fu": 95,
  "e_tot_ev_per_cell": -13.1
}

Record 16
{
  "formula": "NiTe",
  "functional": "GGA-PBE",
  "state": "optimized geometry",
  "lattice_angstrom": [[5.1314, 0.0000, 0.0000], [-2.5657, 4.4439, 0.0000], [0.0000, 0.0000, 7.2015]],
  "species": ["Ni", "Ni", "Ni", "Ni", "Te", "Te", "Te", "Te"],
  "frac_coords": [[0.3333, 0.6667, 0.0877], [0.3333, 0.6667, 0.4123], [0.6667, 0.3333, 0.5877], [0.6667, 0.3333, 0.9123], [0.0000, 0.0000, 0.2500], [0.0000, 0.0000, 0.7500], [0.3333, 0.6667, 0.7500], [0.6667, 0.3333, 0.2500]],
  "volume_a3_per_fu": 41,
  "e_tot_ev_per_cell": -30.5
}

Record 17
{
  "formula": "NiTe2",
  "functional": "GGA-PBE",
  "state": "optimized geometry",
  "lattice_angstrom": [[3.7782, 0.0000, 0.0000], [-1.8891, 3.2720, 0.0000], [0.0000, 0.0000, 11.6326]],
  "species": ["Ni", "Ni", "Te", "Te", "Te", "Te"],
  "frac_coords": [[0.0000, 0.0000, 0.2500], [0.0000, 0.0000, 0.7500], [0.3333, 0.6667, 0.1244], [0.3333, 0.6667, 0.3756], [0.6667, 0.3333, 0.6244], [0.6667, 0.3333, 0.8756]],
  "volume_a3_per_fu": 72,
  "e_tot_ev_per_cell": -24.9
}

Record 18
{
  "formula": "NiTe",
  "functional": "GGA-PBE",
  "state": "optimized geometry",
  "lattice_angstrom": [[3.3021, 0.0000, 0.0000], [0.0000, 3.3021, 0.0000], [0.0000, 0.0000, 3.3021]],
  "species": ["Ni", "Te"],
  "frac_coords": [[0.0000, 0.0000, 0.0000], [0.5000, 0.5000, 0.5000]],
  "volume_a3_per_fu": 36,
  "e_tot_ev_per_cell": -8.4
}

Record 19
{
  "formula": "NiTe2",
  "functional": "GGA-PBE",
  "state": "optimized geometry",
  "lattice_angstrom": [[1.9435, -6.8129, 0.0000], [1.9435, 6.8129, 0.0000], [0.0000, 0.0000, 5.4494]],
  "species": ["Ni", "Ni", "Te", "Te", "Te", "Te"],
  "frac_coords": [[0.1719, 0.8281, 0.7500], [0.8281, 0.1719, 0.2500], [0.2036, 0.7964, 0.2500], [0.4492, 0.5508, 0.2500], [0.5508, 0.4492, 0.7500], [0.7964, 0.2036, 0.7500]],
  "volume_a3_per_fu": 72,
  "e_tot_ev_per_cell": -25.1
}

Record 20
{
  "formula": "Ni3Te",
  "functional": "GGA-PBE",
  "state": "optimized geometry",
  "lattice_angstrom": [[4.7417, 0.0000, 0.0000], [0.0000, 4.7417, 0.0000], [0.0000, 0.0000, 4.7417]],
  "species": ["Ni", "Ni", "Ni", "Ni", "Ni", "Ni", "Te", "Te"],
  "frac_coords": [[0.0000, 0.2500, 0.5000], [0.0000, 0.7500, 0.5000], [0.2500, 0.5000, 0.0000], [0.5000, 0.0000, 0.2500], [0.5000, 0.0000, 0.7500], [0.7500, 0.5000, 0.0000], [0.0000, 0.0000, 0.0000], [0.5000, 0.5000, 0.5000]],
  "volume_a3_per_fu": 53,
  "e_tot_ev_per_cell": -40.6
}

Record 21
{
  "formula": "Ni5Te",
  "functional": "GGA-PBE",
  "state": "optimized geometry",
  "lattice_angstrom": [[1.8508, -5.4179, 0.0000], [1.8508, 5.4179, 0.0000], [0.0000, 0.0000, 3.6962]],
  "species": ["Ni", "Ni", "Ni", "Ni", "Ni", "Te"],
  "frac_coords": [[0.0000, 0.0000, 0.0000], [0.1715, 0.8285, 0.5000], [0.3270, 0.6730, 0.0000], [0.6730, 0.3270, 0.0000], [0.8285, 0.1715, 0.5000], [0.5000, 0.5000, 0.5000]],
  "volume_a3_per_fu": 74,
  "e_tot_ev_per_cell": -31.9
}

Record 22
{
  "formula": "NiTe2",
  "functional": "GGA-PBE",
  "state": "optimized geometry",
  "lattice_angstrom": [[6.4164, 0.0000, 0.0000], [0.0000, 6.4164, 0.0000], [0.0000, 0.0000, 6.4164]],
  "species": ["Ni", "Ni", "Ni", "Ni", "Te", "Te", "Te", "Te", "Te", "Te", "Te", "Te"],
  "frac_coords": [[0.0000, 0.0000, 0.0000], [0.0000, 0.5000, 0.5000], [0.5000, 0.0000, 0.5000], [0.5000, 0.5000, 0.0000], [0.1341, 0.6341, 0.8659], [0.1341, 0.8659, 0.3659], [0.3659, 0.1341, 0.8659], [0.3659, 0.3659, 0.3659], [0.6341, 0.6341, 0.6341], [0.6341, 0.8659, 0.1341], [0.8659, 0.1341, 0.6341], [0.8659, 0.3659, 0.1341]],
  "volume_a3_per_fu": 66,
  "e_tot_ev_per_cell": -50.3
}

Record 23
{
  "formula": "NiTe",
  "functional": "GGA-PBE",
  "state": "optimized geometry",
  "lattice_angstrom": [[6.3720, 0.0000, 0.0000], [0.0000, 6.3814, 0.0000], [0.0000, 0.0000, 7.9734]],
  "species": ["Ni", "Ni", "Ni", "Ni", "Ni", "Ni", "Ni", "Ni", "Te", "Te", "Te", "Te", "Te", "Te", "Te", "Te"],
  "frac_coords": [[0.1432, 0.1458, 0.3873], [0.1713, 0.4928, 0.9167], [0.3287, 0.5072, 0.4167], [0.3568, 0.8542, 0.8873], [0.6432, 0.3542, 0.6127], [0.6713, 0.0072, 0.0833], [0.8287, 0.9928, 0.5833], [0.8568, 0.6458, 0.1127], [0.0269, 0.3594, 0.6285], [0.0323, 0.7779, 0.3697], [0.4677, 0.2221, 0.8697], [0.4731, 0.6406, 0.1285], [0.5269, 0.1406, 0.3715], [0.5323, 0.7221, 0.6303], [0.9677, 0.2779, 0.1303], [0.9731, 0.8594, 0.8715]],
  "volume_a3_per_fu": 41,
  "e_tot_ev_per_cell": -73.5
}

Record 24
{
  "formula": "NiTe2",
  "functional": "GGA-PBE",
  "state": "optimized geometry",
  "lattice_angstrom": [[7.6539, 0.0000, 0.0000], [-3.8269, 6.6285, 0.0000], [0.0000, 0.0000, 3.8220]],
  "species": ["Ni", "Ni", "Ni", "Te", "Te", "Te", "Te", "Te", "Te"],
  "frac_coords": [[0.0000, 0.0000, 0.0000], [0.3333, 0.6667, 0.5000], [0.6667, 0.3333, 0.5000], [0.0000, 0.2533, 0.5000], [0.0000, 0.5665, 0.0000], [0.2533, 0.0000, 0.5000], [0.4335, 0.4335, 0.0000], [0.5665, 0.0000, 0.0000], [0.7467, 0.7467, 0.5000]],
  "volume_a3_per_fu": 65,
  "e_tot_ev_per_cell": -34.2
}

Record 25
{
  "formula": "Ni5Te",
  "functional": "GGA-PBE",
  "state": "optimized geometry",
  "lattice_angstrom": [[4.7556, 0.0000, 0.0000], [-2.3778, 4.1185, 0.0000], [0.0000, 0.0000, 4.1108]],
  "species": ["Ni", "Ni", "Ni", "Ni", "Ni", "Te"],
  "frac_coords": [[0.0000, 0.5000, 0.0000], [0.3333, 0.6667, 0.5000], [0.5000, 0.0000, 0.0000], [0.5000, 0.5000, 0.0000], [0.6667, 0.3333, 0.5000], [0.0000, 0.0000, 0.5000]],
  "volume_a3_per_fu": 81,
  "e_tot_ev_per_cell": -30.7
}

Record 26
{
  "formula": "NiTe2",
  "functional": "GGA-PBE",
  "state": "optimized geometry",
  "lattice_angstrom": [[4.3511, 0.0000, 0.0000], [-2.1756, 3.7682, 0.0000], [0.0000, 0.0000, 8.7514]],
  "species": ["Ni", "Ni", "Te", "Te", "Te", "Te"],
  "frac_coords": [[0.3333, 0.6667, 0.2500], [0.6667, 0.3333, 0.7500], [0.0000, 0.0000, 0.0000], [0.0000, 0.0000, 0.5000], [0.3333, 0.6667, 0.7500], [0.6667, 0.3333, 0.2500]],
  "volume_a3_per_fu": 72,
  "e_tot_ev_per_cell": -22.3
}

Record 27
{
  "formula": "Ni2Te",
  "functional": "GGA-PBE",
  "state": "optimized geometry",
  "lattice_angstrom": [[4.0040, -2.1781, 0.0000], [4.0040, 2.1781, 0.0000], [-0.9709, 0.0000, 5.1826]],
  "species": ["Ni", "Ni", "Ni", "Ni", "Te", "Te"],
  "frac_coords": [[0.0347, 0.0347, 0.2672], [0.2843, 0.2843, 0.6601], [0.7157, 0.7157, 0.3399], [0.9653, 0.9653, 0.7328], [0.3643, 0.3643, 0.2077], [0.6357, 0.6357, 0.7923]],
  "volume_a3_per_fu": 45,
  "e_tot_ev_per_cell": -29.2
}